1.
# AgPt2

Crystalline AgPt2 at its relaxed geometry (PBE, Alexandria).

Lattice parameters (Å, degrees): 2.758 14.893 4.766 90.00 90.00 90.00
Space group Cmcm (No. 63)
Unique sites:
Ag 0.000 0.112 0.250 x4
Pt 0.000 0.219 0.750 x4
Pt 0.000 0.445 0.250 x4

Excess energy over the best structure of this formula in the dataset   28 kJ/mol of formula units
Calculated formation energy   0.264 eV/f.u.
Uncorrected energy   -4.89 eV per atom
V   49 Å³/f.u.
ρ   16.90 g/cm³
Crystal system   orthorhombic

***

2.
# Li2CrRe

Crystalline Li2CrRe at its relaxed geometry (PBE, Alexandria).

Lattice parameters (Å, degrees): 3.436 3.436 9.153 90.00 90.00 90.00
Space group I4/mmm (No. 139)
Unique sites:
Li 0.000 0.500 0.250 x4
Cr 0.000 0.000 0.000 x2
Re 0.000 0.000 0.500 x2

Excess energy over the best structure of this formula in the dataset   65 kJ/mol of formula units
Calculated formation energy   1.666 eV/f.u.
Uncorrected energy   -6.06 eV per atom
V   54 Å³/f.u.
ρ   7.75 g/cm³
Crystal system   tetragonal

***

3.
# Mn3HgCl

Crystalline Mn3HgCl at its relaxed geometry (PBE, Alexandria).

Lattice parameters (Å, degrees): 5.175 5.175 5.175 90.00 90.00 90.00
Space group Pm-3m (No. 221)
Unique sites:
Mn 0.000 0.000 0.500 x3
Hg 0.000 0.000 0.000 x1
Cl 0.500 0.500 0.500 x1

Formation energy from raw total energies   872 meV per atom
Excess energy over the best structure of this formula in the dataset   110 kJ/mol of formula units
Uncorrected energy   -5.06 eV per atom
V   139 Å³/f.u.
ρ   4.80 g/cm³
Crystal system   cubic

***

4.
# Be9NbMo2

Crystalline Be9NbMo2 at its relaxed geometry (PBE, Alexandria).

Lattice parameters (Å, degrees): 4.4546 4.4546 20.8496 90.00 90.00 120.00
Space group R-3m (No. 166, hexagonal axes)
Unique sites:
Be 0.0000 0.0000 0.0000 x3
Be 0.0000 0.0000 0.1658 x6
Be 0.0044 0.5022 0.4178 x18
Nb 0.0000 0.0000 0.5000 x3
Mo 0.0000 0.0000 0.3558 x6

Excess energy over the best structure of this formula in the dataset   0 kJ/mol of formula units
Calculated formation energy   -3.441 eV/f.u.
Uncorrected energy   -5.73 eV per atom
V   119 Å³/f.u.
ρ   5.09 g/cm³
Crystal system   trigonal

***

5.
# PmDyTm2Se6

Crystalline PmDyTm2Se6 at its relaxed geometry (PBE, Alexandria).

Lattice parameters (Å, degrees): 7.2135 7.2135 19.3822 90.00 90.00 120.00
Space group R3 (No. 146, hexagonal axes)
Unique sites:
Pm 0.0000 0.0000 0.0000 x3
Dy 0.0000 0.0000 0.4963 x3
Tm 0.0000 0.0000 0.2998 x3
Tm 0.0000 0.0000 0.8021 x3
Se 0.0090 0.3118 0.8958 x9
Se 0.0203 0.7098 0.3963 x9

Formation energy from raw total energies   -1842 meV per atom
Uncorrected energy   -5.76 eV per atom
V   291 Å³/f.u.
ρ   6.38 g/cm³
Crystal system   trigonal

***

6.
# PmGeP2

Crystalline PmGeP2 at its relaxed geometry (PBE, Alexandria).

Lattice parameters (Å, degrees): 4.543 4.543 3.821 90.00 90.00 90.00
Space group P4/mmm (No. 123)
Unique sites:
Pm 0.000 0.000 0.000 x1
Ge 0.500 0.500 0.000 x1
P 0.000 0.500 0.500 x2

Excess energy over the best structure of this formula in the dataset   0 kJ/mol of formula units
Calculated formation energy   -1.672 eV/f.u.
Uncorrected energy   -5.46 eV per atom
V   79 Å³/f.u.
ρ   5.89 g/cm³
Crystal system   tetragonal